Entry 1:
Below is an optimized crystal structure of YTaCo2, with properties calculated at the PBE level.

Cell lengths 3.090, 3.122, 6.846 Å; angles 90.00, 90.00, 90.00 degrees
Space group Pmmm (No. 47)
Asymmetric unit:
Y: 0.000 0.000 0.000 (multiplicity 1)
Ta: 0.000 0.000 0.500 (multiplicity 1)
Co: 0.500 0.500 0.302 (multiplicity 2)

## Properties
Total DFT energy (no corrections) in eV for the cell shown: -33.1
Magnetization in μB per cell: 0.00

Entry 2:
Below is an optimized crystal structure of SrMg2TiI, with properties calculated at the PBE level.

Cell lengths 5.553, 5.553, 6.338 Å; angles 90.00, 90.00, 90.00 degrees
Space group P4/mmm (No. 123)
Asymmetric unit:
Sr: 0.000 0.000 0.000 (multiplicity 1)
Mg: 0.000 0.500 0.500 (multiplicity 2)
Ti: 0.000 0.000 0.500 (multiplicity 1)
I: 0.500 0.500 0.000 (multiplicity 1)

## Properties
Total DFT energy (no corrections) in eV for the cell shown: -12.0
Magnetization in μB per cell: 4.42

Q: Which value of total DFT energy (no corrections) does entry 2 give?
A: -12.0 eV for the cell shown

Q: Look up the magnetization of the second one.
A: 4.42 μB per cell

Repeat the second record exactly.
Below is an optimized crystal structure of SrMg2TiI, with properties calculated at the PBE level.

Cell lengths 5.553, 5.553, 6.338 Å; angles 90.00, 90.00, 90.00 degrees
Space group P4/mmm (No. 123)
Asymmetric unit:
Sr: 0.000 0.000 0.000 (multiplicity 1)
Mg: 0.000 0.500 0.500 (multiplicity 2)
Ti: 0.000 0.000 0.500 (multiplicity 1)
I: 0.500 0.500 0.000 (multiplicity 1)

## Properties
Total DFT energy (no corrections) in eV for the cell shown: -12.0
Magnetization in μB per cell: 4.42